Record 1
VASP calculation (PBE-GGA) on a geometry-optimized SrLi2BIr structure.

```
5
Lattice="4.4984 0.0000 0.0000 0.0000 4.4984 0.0000 0.0000 0.0000 4.1829" Properties=species:S:1:pos:R:3 pbc="T T T"
Sr 0.0000 0.0000 0.0000
Li 0.0000 2.2492 2.0915
Li 2.2492 0.0000 2.0915
B 2.2492 2.2492 2.0915
Ir 2.2492 2.2492 0.0000
```

Summary:
calculated formation energy: -0.134 eV per atom
magnetic moment: 0.000 μB/f.u.

***

Record 2
VASP calculation (PBE-GGA) on a geometry-optimized Mg4Tl2Cd structure.

```
14
Lattice="5.4151 0.0000 0.0000 0.0000 9.8675 0.0000 -0.7975 0.0000 6.6314" Properties=species:S:1:pos:R:3 pbc="T T T"
Mg -0.3395 1.6960 3.0942
Mg -0.7383 3.2377 6.4099
Mg 2.3960 7.2182 1.9774
Mg 1.9973 7.5830 5.2931
Mg 2.6203 2.2845 1.3383
Mg 2.2216 2.6493 4.6540
Mg 5.3559 6.6298 0.2215
Mg 4.9571 8.1715 3.5372
Tl 0.4774 0.3488 5.8787
Tl 0.8761 4.5850 2.5630
Tl 3.7415 5.2825 4.0685
Tl 4.1402 9.5187 0.7528
Cd 2.3088 0.0000 3.3157
Cd 2.7076 4.9338 0.0000
```

Summary:
calculated formation energy: 0.029 eV per atom
magnetic moment: 0.000 μB/f.u.

***

Record 3
VASP calculation (PBE-GGA) on a geometry-optimized Pu3InAu2 structure.

```
6
Lattice="3.2670 0.0000 0.0000 0.0000 3.2670 0.0000 0.0000 0.0000 13.4318" Properties=species:S:1:pos:R:3 pbc="T T T"
Pu 0.0000 0.0000 0.0000
Pu 0.0000 0.0000 4.2854
Pu 0.0000 0.0000 9.1464
In 1.6335 1.6335 6.7159
Au 1.6335 1.6335 2.1422
Au 1.6335 1.6335 11.2896
```

Summary:
calculated formation energy: -0.328 eV per atom
magnetic moment: 5.652 μB/f.u.

***

Record 4
VASP calculation (PBE-GGA) on a geometry-optimized Tb2Er6Tm3Pb structure.

```
12
Lattice="3.0148 -5.2253 0.0000 3.0148 5.2253 0.0000 -2.0192 0.0000 11.4180" Properties=species:S:1:pos:R:3 pbc="T T T"
Tb 3.0148 3.4897 0.0000
Tb 3.0148 -3.4897 0.0000
Er 0.0077 1.7226 8.5583
Er 1.0209 0.0000 2.8740
Er 0.0077 -1.7226 8.5583
Er 4.0027 1.7226 2.8597
Er 2.9895 0.0000 8.5440
Er 4.0027 -1.7226 2.8597
Tm -1.0096 0.0000 5.7090
Tm 2.0052 1.7459 5.7090
Tm 2.0052 -1.7459 5.7090
Pb 3.0148 0.0000 0.0000
```

Summary:
calculated formation energy: -0.052 eV per atom
magnetic moment: 0.000 μB/f.u.

***

Mass density / kg/m3: 5974, 5796, 14371, 9395